# Sm2ErPaSb4 | Alexandria | PBE-GGA | relaxed
# ΔE_f (raw)   -0.973 eV/atom
# DFT total energy   -5.9714 eV/atom
# Size of the total moment   0.80 μB per formula unit
data_Sm2ErPaSb4
_chemical_formula_sum 'Sm2 Er1 Pa1 Sb4'
_cell_length_a 7.629
_cell_length_b 4.412
_cell_length_c 7.662
_cell_angle_alpha 90.00
_cell_angle_beta 109.36
_cell_angle_gamma 90.00
_space_group_name_H-M_alt 'P 1 2/m 1'
_space_group_IT_number 10
loop_
_space_group_symop_operation_xyz
'x,y,z'
'-x,-y,-z'
'-x,y,-z'
'x,-y,z'
loop_
_atom_site_label
_atom_site_type_symbol
_atom_site_fract_x
_atom_site_fract_y
_atom_site_fract_z
Sm1 Sm 0.000 0.000 0.000
Sm2 Sm 0.500 0.500 0.000
Er1 Er 0.000 0.500 0.500
Pa1 Pa 0.500 0.000 0.500
Sb1 Sb 0.248 0.000 0.742
Sb2 Sb 0.251 0.500 0.257



# NaNdSI | Alexandria | PBE-GGA | relaxed
# ΔE_f (raw)   -1.406 eV/atom
# DFT total energy   -4.3470 eV/atom
# Size of the total moment   0.95 μB per formula unit
data_NaNdSI
_chemical_formula_sum 'Na3 Nd3 S3 I3'
_cell_length_a 4.1178
_cell_length_b 4.1178
_cell_length_c 23.3652
_cell_angle_alpha 90.00
_cell_angle_beta 90.00
_cell_angle_gamma 120.00
_space_group_name_H-M_alt 'R 3 m'
_space_group_IT_number 160
_space_group_name_Hall 'R 3 -2"'
loop_
_atom_site_label
_atom_site_type_symbol
_atom_site_fract_x
_atom_site_fract_y
_atom_site_fract_z
Na1 Na 0.0000 0.0000 0.0000
Nd1 Nd 0.0000 0.0000 0.1997
S1 S 0.0000 0.0000 0.6020
I1 I 0.0000 0.0000 0.4355



# Zn2OsSeN | Alexandria | PBE-GGA | relaxed
# ΔE_f (raw)   0.461 eV/atom
# DFT total energy   -4.6565 eV/atom
# Size of the total moment   0.28 μB per formula unit
data_Zn2OsSeN
_chemical_formula_sum 'Zn2 Os1 Se1 N1'
_cell_length_a 5.041
_cell_length_b 5.041
_cell_length_c 3.687
_cell_angle_alpha 90.00
_cell_angle_beta 90.00
_cell_angle_gamma 90.00
_space_group_name_H-M_alt 'P 4/m m m'
_space_group_IT_number 123
_space_group_name_Hall '-P 4 2'
loop_
_atom_site_label
_atom_site_type_symbol
_atom_site_fract_x
_atom_site_fract_y
_atom_site_fract_z
Zn1 Zn 0.000 0.500 0.000
Os1 Os 0.000 0.000 0.000
Se1 Se 0.500 0.500 0.500
N1 N 0.000 0.000 0.500



# AcTbY14 | Alexandria | PBE-GGA | relaxed
# DFT total energy   -6.1871 eV/atom
# Size of the total moment   0.00 μB per formula unit
data_AcTbY14
_chemical_formula_sum 'Ac2 Tb2 Y28'
_cell_length_a 11.617
_cell_length_b 7.236
_cell_length_c 12.523
_cell_angle_alpha 90.00
_cell_angle_beta 90.00
_cell_angle_gamma 90.00
_space_group_name_H-M_alt 'A m m 2'
_space_group_IT_number 38
loop_
_space_group_symop_operation_xyz
'x,y,z'
'-x,-y,z'
'-x,y,z'
'x,-y,z'
'x,y+1/2,z+1/2'
'-x,-y+1/2,z+1/2'
'-x,y+1/2,z+1/2'
'x,-y+1/2,z+1/2'
loop_
_atom_site_label
_atom_site_type_symbol
_atom_site_fract_x
_atom_site_fract_y
_atom_site_fract_z
Ac1 Ac 0.000 0.000 0.000
Tb1 Tb 0.000 0.000 0.500
Y1 Y 0.000 0.249 0.250
Y2 Y 0.250 0.000 0.667
Y3 Y 0.254 0.248 0.416
Y4 Y 0.255 0.000 0.168
Y5 Y 0.500 0.000 0.333
Y6 Y 0.500 0.000 0.833
Y7 Y 0.500 0.249 0.584



# PmMgAl2 | Alexandria | PBE-GGA | relaxed
# DFT total energy   -3.7687 eV/atom
# Size of the total moment   0.00 μB per formula unit
data_PmMgAl2
_chemical_formula_sum 'Pm1 Mg1 Al2'
_cell_length_a 4.487
_cell_length_b 4.487
_cell_length_c 4.393
_cell_angle_alpha 90.00
_cell_angle_beta 90.00
_cell_angle_gamma 90.00
_space_group_name_H-M_alt 'P 4/m m m'
_space_group_IT_number 123
_space_group_name_Hall '-P 4 2'
loop_
_atom_site_label
_atom_site_type_symbol
_atom_site_fract_x
_atom_site_fract_y
_atom_site_fract_z
Pm1 Pm 0.000 0.000 0.000
Mg1 Mg 0.500 0.500 0.000
Al1 Al 0.000 0.500 0.500



# MgZnCr3 | Alexandria | PBE-GGA | relaxed
# DFT total energy   -4.6512 eV/atom
# Size of the total moment   12.98 μB per formula unit
data_MgZnCr3
_chemical_formula_sum 'Mg1 Zn1 Cr3'
_cell_length_a 4.934
_cell_length_b 4.934
_cell_length_c 4.934
_cell_angle_alpha 90.00
_cell_angle_beta 90.00
_cell_angle_gamma 90.00
_space_group_name_H-M_alt 'P m -3 m'
_space_group_IT_number 221
_space_group_name_Hall '-P 4 2 3'
loop_
_atom_site_label
_atom_site_type_symbol
_atom_site_fract_x
_atom_site_fract_y
_atom_site_fract_z
Mg1 Mg 0.000 0.000 0.000
Zn1 Zn 0.500 0.500 0.500
Cr1 Cr 0.000 0.000 0.500



# K8TlPt2 | Alexandria | PBE-GGA | relaxed
# DFT total energy   -2.1395 eV/atom
# Size of the total moment   0.00 μB per formula unit
data_K8TlPt2
_chemical_formula_sum 'K16 Tl2 Pt4'
_cell_length_a 14.368
_cell_length_b 10.645
_cell_length_c 6.818
_cell_angle_alpha 90.00
_cell_angle_beta 92.83
_cell_angle_gamma 90.00
_space_group_name_H-M_alt 'C 1 2/m 1'
_space_group_IT_number 12
loop_
_space_group_symop_operation_xyz
'x,y,z'
'-x,-y,-z'
'-x,y,-z'
'x,-y,z'
'x+1/2,y+1/2,z'
'-x+1/2,-y+1/2,-z'
'-x+1/2,y+1/2,-z'
'x+1/2,-y+1/2,z'
loop_
_atom_site_label
_atom_site_type_symbol
_atom_site_fract_x
_atom_site_fract_y
_atom_site_fract_z
K1 K 0.117 0.000 0.190
K2 K 0.136 0.500 0.055
K3 K 0.150 0.215 0.650
Tl1 Tl 0.000 0.500 0.500
Pt1 Pt 0.192 0.500 0.535



# Ac2SmZrN4 | Alexandria | PBE-GGA | relaxed
# ΔE_f (raw)   -1.256 eV/atom
# DFT total energy   -8.1045 eV/atom
# Size of the total moment   0.00 μB per formula unit
data_Ac2SmZrN4
_chemical_formula_sum 'Ac2 Sm1 Zr1 N4'
_cell_length_a 6.244
_cell_length_b 3.600
_cell_length_c 6.419
_cell_angle_alpha 90.00
_cell_angle_beta 108.77
_cell_angle_gamma 90.00
_space_group_name_H-M_alt 'P 1 2/m 1'
_space_group_IT_number 10
loop_
_space_group_symop_operation_xyz
'x,y,z'
'-x,-y,-z'
'-x,y,-z'
'x,-y,z'
loop_
_atom_site_label
_atom_site_type_symbol
_atom_site_fract_x
_atom_site_fract_y
_atom_site_fract_z
Ac1 Ac 0.000 0.000 0.000
Ac2 Ac 0.500 0.500 0.000
Sm1 Sm 0.000 0.500 0.500
Zr1 Zr 0.500 0.000 0.500
N1 N 0.260 0.000 0.715
N2 N 0.277 0.500 0.288



Q: What is the size of the total moment in the fifth record?
A: 0.00 μB per formula unit



Q: What is the size of the total moment in the second record?
A: 0.95 μB per formula unit



Q: DFT total energy of number 6 (MgZnCr3)?
A: -4.6512 eV/atom